Material: CsLa2HBr
Method: DFT, PBE
State: relaxed

Output
Energy: -12.02 eV per cell
Total magnetic moment: 1.3 μB per formula unit

Lattice parameters (Å, degrees): 6.1486 4.3898 6.1486 90.00 90.00 90.00
Each line ends with the local moment (μB).
Fractional positions:
Cs  0.0000  0.0000  0.0000  0.02
H  0.0000  0.5000  0.0000  -0.01
Br  0.5000  0.5000  0.5000  0.01
La  0.0000  0.0000  0.5000  0.24
La  0.5000  0.0000  0.0000  0.21



Material: K2BaAlO4
Method: DFT, PBE
State: relaxed

Output
Total magnetic moment: 1.0 μB per formula unit
Formation energy from raw total energies: -1955.3 meV per atom

Lattice parameters (Å, degrees): 6.5991 5.7826 5.7826 72.41 55.21 55.21
Each line ends with the local moment (μB).
Fractional positions:
K  0.5000  0.7500  0.2500  0.01
K  0.5000  0.2500  0.7500  0.01
Ba  0.0000  0.0000  0.0000  -0.01
Al  0.0000  0.5000  0.5000  -0.01
O  0.6864  0.5061  0.8075  0.21
O  0.3136  0.1925  0.4939  0.21
O  0.0000  0.4939  0.1925  0.21
O  0.0000  0.8075  0.5061  0.21